Compound: Sn4Pb3Au4
Source: Alexandria
Functional: PBE
Structure: relaxed

Summary:
E_form (eV/atom): -0.082
Total DFT energy (no corrections) (eV/atom): -3.741
Symmetry: P-1

abc: 4.5332 5.4202 12.4455
angles: 101.84 100.07 90.16
With the nearest neighbours (Å) after each atom.
Element x y z (fractional)
Sn1 0.0573 0.4403 0.1112  2 Au 2.77, 1 Sn 2.93
Sn2 0.2991 0.4027 0.5990  5 Au 2.79-3.01
Sn3 0.7009 0.5973 0.4010  5 Au 2.79-3.01
Sn4 0.9427 0.5597 0.8888  2 Au 2.77, 1 Sn 2.93
Pb1 0.1441 0.0572 0.2840  5 Au 3.00-3.34, 1 Sn 3.26
Pb2 0.5000 0.0000 0.0000  2 Au 3.05, 4 Sn 3.36-3.37
Pb3 0.8559 0.9428 0.7160  5 Au 3.00-3.34, 1 Sn 3.26
Au1 0.2551 0.8399 0.5124  4 Sn 2.79-3.01, 2 Au 2.91
Au2 0.4040 0.2864 0.8103  3 Sn 2.77-2.79, 3 Pb 3.00-3.05
Au3 0.5960 0.7136 0.1897  3 Sn 2.77-2.79, 3 Pb 3.00-3.05
Au4 0.7449 0.1601 0.4876  4 Sn 2.79-3.01, 2 Au 2.91



Compound: Er2NpUC4
Source: Alexandria
Functional: PBE
Structure: relaxed

Summary:
E_form (eV/atom): -0.197
Total DFT energy (no corrections) (eV/atom): -8.978
Symmetry: P2/m

abc: 6.0126 3.5584 6.1565
angles: 90.00 109.47 90.00
With the nearest neighbours (Å) after each atom.
Element x y z (fractional)
Er1 0.0000 0.0000 0.0000  6 C 2.59-2.60
Er2 0.0000 0.5000 0.5000  6 C 2.61
Np1 0.5000 0.0000 0.5000  6 C 2.37-2.42
U1 0.5000 0.5000 0.0000  6 C 2.37-2.40
C1 0.2803 0.5000 0.2558  1 U 2.37, 2 Np 2.42, 3 Er 2.59-2.61
C2 0.2840 0.0000 0.7600  1 Np 2.37, 2 U 2.40, 3 Er 2.60-2.61
C3 0.7160 0.0000 0.2400  1 Np 2.37, 2 U 2.40, 3 Er 2.60-2.61
C4 0.7197 0.5000 0.7442  1 U 2.37, 2 Np 2.42, 3 Er 2.59-2.61



Compound: MgIrRu2
Source: Alexandria
Functional: PBE
Structure: relaxed

Summary:
E_form (eV/atom): 0.079
Total DFT energy (no corrections) (eV/atom): -7.173
Symmetry: P4/mmm

abc: 2.7611 2.7611 7.8358
angles: 90.00 90.00 90.00
With the nearest neighbours (Å) after each atom.
Element x y z (fractional)
Mg1 0.0000 0.0000 0.0000  4 Mg 2.76, 8 Ru 2.85
Ir1 0.0000 0.0000 0.5000  8 Ru 2.69, 4 Ir 2.76
Ru1 0.5000 0.5000 0.2642  4 Ir 2.69, 4 Ru 2.76, 4 Mg 2.85
Ru2 0.5000 0.5000 0.7358  4 Ir 2.69, 4 Ru 2.76, 4 Mg 2.85



Compound: Np2Al4GaAu3
Source: Alexandria
Functional: PBE
Structure: relaxed

Summary:
E_form (eV/atom): -0.295
Total DFT energy (no corrections) (eV/atom): -5.666
Symmetry: P-4m2

abc: 4.3110 4.3110 10.7023
angles: 90.00 90.00 90.00
With the nearest neighbours (Å) after each atom.
Element x y z (fractional)
Np1 0.0000 0.5000 0.2445  8 Al 3.26-3.48, 6 Au 3.32-3.39, 2 Ga 3.39
Np2 0.5000 0.0000 0.7555  8 Al 3.26-3.48, 6 Au 3.32-3.39, 2 Ga 3.39
Al1 0.0000 0.0000 0.5000  4 Au 2.58
Al2 0.0000 0.5000 0.8633  3 Au 2.47-2.61, 2 Ga 2.61
Al3 0.5000 0.0000 0.1367  3 Au 2.47-2.61, 2 Ga 2.61
Al4 0.5000 0.5000 0.5000  4 Au 2.58
Ga1 0.5000 0.5000 0.0000  4 Al 2.61
Au1 0.0000 0.0000 0.0000  4 Al 2.61
Au2 0.0000 0.5000 0.6323  5 Al 2.47-2.58
Au3 0.5000 0.0000 0.3677  5 Al 2.47-2.58



Compound: RbSmAgO3
Source: Alexandria
Functional: PBE
Structure: relaxed

Summary:
Total DFT energy (no corrections) (eV/atom): -5.521
Symmetry: P2_1/m

abc: 7.7346 3.7194 8.8977
angles: 90.00 102.68 90.00
With the nearest neighbours (Å) after each atom.
Element x y z (fractional)
Rb1 0.1710 0.2500 0.1931  5 O 3.00-3.08
Rb2 0.8290 0.7500 0.8069  5 O 3.00-3.08
Sm1 0.3572 0.7500 0.8558  6 O 2.28-2.47
Sm2 0.6428 0.2500 0.1442  6 O 2.28-2.47
Ag1 0.1238 0.2500 0.5806  3 O 2.07-2.30
Ag2 0.8762 0.7500 0.4194  3 O 2.07-2.30
O1 0.1525 0.2500 0.8433  1 Ag 2.30, 2 Sm 2.43
O2 0.2385 0.7500 0.5739  2 Ag 2.07
O3 0.4451 0.7500 0.1180  3 Sm 2.28-2.39
O4 0.5549 0.2500 0.8820  3 Sm 2.28-2.39
O5 0.7615 0.2500 0.4261  2 Ag 2.07
O6 0.8475 0.7500 0.1567  1 Ag 2.30, 2 Sm 2.43



Compound: TlPCl2F
Source: Alexandria
Functional: PBE
Structure: relaxed

Summary:
Total DFT energy (no corrections) (eV/atom): -2.782
Symmetry: P4/mmm

abc: 5.4031 5.4031 4.5082
angles: 90.00 90.00 90.00
With the nearest neighbours (Å) after each atom.
Element x y z (fractional)
Tl1 0.0000 0.0000 0.0000  2 F 2.25
P1 0.5000 0.5000 0.5000  8 Cl 3.52, 4 F 3.82
Cl1 0.0000 0.5000 0.0000  2 Tl 2.70
Cl2 0.5000 0.0000 0.0000  2 Tl 2.70
F1 0.0000 0.0000 0.5000  2 Tl 2.25



Compound: ZrCd2SbO6
Source: Alexandria
Functional: PBE
Structure: relaxed

Summary:
Total DFT energy (no corrections) (eV/atom): -6.176
Symmetry: R3

abc: 5.8841 5.8841 5.8841
angles: 57.53 57.53 57.53
With the nearest neighbours (Å) after each atom.
Element x y z (fractional)
Zr1 0.0000 0.0000 0.0000  6 O 2.10-2.19
Cd1 0.2239 0.2239 0.2239  3 O 2.27
Cd2 0.7289 0.7289 0.7289  3 O 2.25
Sb1 0.5016 0.5016 0.5016  6 O 2.11-2.17
O1 0.1432 0.3664 0.7747  1 Sb 2.11, 1 Zr 2.19, 1 Cd 2.25
O2 0.2714 0.8655 0.6430  1 Zr 2.10, 1 Sb 2.17, 1 Cd 2.27
O3 0.3664 0.7747 0.1432  1 Sb 2.11, 1 Zr 2.19, 1 Cd 2.25
O4 0.6430 0.2714 0.8655  1 Zr 2.10, 1 Sb 2.17, 1 Cd 2.27
O5 0.7747 0.1432 0.3664  1 Sb 2.11, 1 Zr 2.19, 1 Cd 2.25
O6 0.8655 0.6430 0.2714  1 Zr 2.10, 1 Sb 2.17, 1 Cd 2.27



Compound: CdSn2As
Source: Alexandria
Functional: PBE
Structure: relaxed

Summary:
E_form (eV/atom): 0.068
Total DFT energy (no corrections) (eV/atom): -3.325
Symmetry: P1

abc: 3.1377 4.0978 8.5152
angles: 90.06 90.04 110.72
With the nearest neighbours (Å) after each atom.
Element x y z (fractional)
Cd1 0.0000 0.0000 0.0000  4 Sn 3.09, 2 Cd 3.14
Sn1 0.4951 0.5001 0.7334  2 As 2.84-2.85, 2 Cd 3.09, 2 Sn 3.14
Sn2 0.9932 0.4993 0.2713  2 As 2.87, 2 Cd 3.09, 2 Sn 3.14
As1 0.4956 0.9995 0.5015  4 Sn 2.84-2.87, 2 As 3.14



Compound: Sr2In7Ag
Source: Alexandria
Functional: PBE
Structure: relaxed

Summary:
E_form (eV/atom): -0.272
Total DFT energy (no corrections) (eV/atom): -2.810
Symmetry: P-4m2

abc: 4.7867 4.7867 12.4699
angles: 90.00 90.00 90.00
With the nearest neighbours (Å) after each atom.
Element x y z (fractional)
Sr1 0.0000 0.5000 0.2408  14 In 3.65-4.02, 2 Ag 3.84
Sr2 0.5000 0.0000 0.7592  14 In 3.65-4.02, 2 Ag 3.84
In1 0.0000 0.0000 0.0000  4 In 2.90
In2 0.0000 0.0000 0.5000  4 In 2.99
In3 0.0000 0.5000 0.6432  5 In 2.82-2.99
In4 0.0000 0.5000 0.8690  3 In 2.82-2.90, 2 Ag 2.90
In5 0.5000 0.0000 0.1310  3 In 2.82-2.90, 2 Ag 2.90
In6 0.5000 0.0000 0.3568  5 In 2.82-2.99
In7 0.5000 0.5000 0.5000  4 In 2.99
Ag1 0.5000 0.5000 0.0000  4 In 2.90



Compound: RbSm4Se6
Source: Alexandria
Functional: PBE
Structure: relaxed

Summary:
Total DFT energy (no corrections) (eV/atom): -5.487
Symmetry: Cmcm

abc: 7.3372 7.3372 22.3151
angles: 90.00 90.00 146.52
With the nearest neighbours (Å) after each atom.
Element x y z (fractional)
Rb1 0.1541 0.8459 0.7500  6 Se 3.37-3.46
Rb2 0.8459 0.1541 0.2500  6 Se 3.37-3.46
Sm1 0.0989 0.9011 0.1324  5 Se 2.76-3.03
Sm2 0.0989 0.9011 0.3676  5 Se 2.76-3.03
Sm3 0.3682 0.6318 0.0410  6 Se 2.83-3.02
Sm4 0.3682 0.6318 0.4590  6 Se 2.83-3.02
Sm5 0.6318 0.3682 0.5410  6 Se 2.83-3.02
Sm6 0.6318 0.3682 0.9590  6 Se 2.83-3.02
Sm7 0.9011 0.0989 0.6324  5 Se 2.76-3.03
Sm8 0.9011 0.0989 0.8676  5 Se 2.76-3.03
Se1 0.0000 0.0000 0.0000  6 Sm 2.95-3.26
Se2 0.0000 0.0000 0.5000  6 Sm 2.95-3.26
Se3 0.1586 0.8414 0.2500  2 Sm 2.76
Se4 0.2709 0.7291 0.5799  5 Sm 3.01-3.03
Se5 0.2709 0.7291 0.9201  5 Sm 3.01-3.03
Se6 0.4639 0.5361 0.1523  3 Sm 2.83-2.87
Se7 0.4639 0.5361 0.3477  3 Sm 2.83-2.87
Se8 0.5361 0.4639 0.6523  3 Sm 2.83-2.87
Se9 0.5361 0.4639 0.8477  3 Sm 2.83-2.87
Se10 0.7291 0.2709 0.0799  5 Sm 3.01-3.03
Se11 0.7291 0.2709 0.4201  5 Sm 3.01-3.03
Se12 0.8414 0.1586 0.7500  2 Sm 2.76



Compound: Pm3NO
Source: Alexandria
Functional: PBE
Structure: relaxed

Summary:
Total DFT energy (no corrections) (eV/atom): -6.996
Symmetry: P2_13

abc: 7.3708 7.3708 7.3708
angles: 90.00 90.00 90.00
With the nearest neighbours (Å) after each atom.
Element x y z (fractional)
Pm1 0.9995 0.2430 0.3738  2 N 2.42-2.65, 2 O 2.54-2.57
Pm2 0.0005 0.7430 0.1262  2 N 2.42-2.65, 2 O 2.54-2.57
Pm3 0.1262 0.0005 0.7430  2 N 2.42-2.65, 2 O 2.54-2.57
Pm4 0.2430 0.3738 0.9995  2 N 2.42-2.65, 2 O 2.54-2.57
Pm5 0.2570 0.6262 0.4995  2 N 2.42-2.65, 2 O 2.54-2.57
Pm6 0.3738 0.9995 0.2430  2 N 2.42-2.65, 2 O 2.54-2.57
Pm7 0.4995 0.2570 0.6262  2 N 2.42-2.65, 2 O 2.54-2.57
Pm8 0.5005 0.7570 0.8738  2 N 2.42-2.65, 2 O 2.54-2.57
Pm9 0.6262 0.4995 0.2570  2 N 2.42-2.65, 2 O 2.54-2.57
Pm10 0.7430 0.1262 0.0005  2 N 2.42-2.65, 2 O 2.54-2.57
Pm11 0.7570 0.8738 0.5005  2 N 2.42-2.65, 2 O 2.54-2.57
Pm12 0.8738 0.5005 0.7570  2 N 2.42-2.65, 2 O 2.54-2.57
N1 0.0729 0.9271 0.4271  6 Pm 2.42-2.65
N2 0.4271 0.0729 0.9271  6 Pm 2.42-2.65
N3 0.5729 0.5729 0.5729  6 Pm 2.42-2.65
N4 0.9271 0.4271 0.0729  6 Pm 2.42-2.65
O1 0.1657 0.3343 0.6657  6 Pm 2.54-2.57
O2 0.3343 0.6657 0.1657  6 Pm 2.54-2.57
O3 0.6657 0.1657 0.3343  6 Pm 2.54-2.57
O4 0.8343 0.8343 0.8343  6 Pm 2.54-2.57



Compound: LiAuBr2
Source: Alexandria
Functional: PBE
Structure: relaxed

Summary:
Total DFT energy (no corrections) (eV/atom): -2.763
Symmetry: Cm

abc: 14.2381 3.8628 3.8754
angles: 90.00 90.38 90.00
With the nearest neighbours (Å) after each atom.
Element x y z (fractional)
Li1 0.0000 0.0000 0.0000  5 Br 2.76-2.85
Li2 0.5000 0.5000 0.0000  5 Br 2.76-2.85
Au1 0.1875 0.5000 0.5067  5 Br 2.74-3.04
Au2 0.6875 0.0000 0.5067  5 Br 2.74-3.04
Br1 0.2001 0.0000 0.0069  4 Au 2.74, 1 Li 2.85
Br2 0.4740 0.0000 0.5001  4 Li 2.76, 1 Au 3.04
Br3 0.7001 0.5000 0.0069  4 Au 2.74, 1 Li 2.85
Br4 0.9740 0.5000 0.5001  4 Li 2.76, 1 Au 3.04



Compound: Mg2GaCu2
Source: Alexandria
Functional: PBE
Structure: relaxed

Summary:
E_form (eV/atom): 0.067
Total DFT energy (no corrections) (eV/atom): -2.815
Symmetry: P4/mbm

abc: 7.5390 7.5390 2.9951
angles: 90.00 90.00 90.00
With the nearest neighbours (Å) after each atom.
Element x y z (fractional)
Mg1 0.1494 0.3506 0.0000  6 Cu 2.66-2.67, 2 Ga 2.87
Mg2 0.3506 0.8506 0.0000  6 Cu 2.66-2.67, 2 Ga 2.87
Mg3 0.6494 0.1494 0.0000  6 Cu 2.66-2.67, 2 Ga 2.87
Mg4 0.8506 0.6494 0.0000  6 Cu 2.66-2.67, 2 Ga 2.87
Ga1 0.0000 0.0000 0.0000  4 Mg 2.87, 2 Ga 3.00
Ga2 0.5000 0.5000 0.0000  4 Mg 2.87, 2 Ga 3.00
Cu1 0.1440 0.6440 0.5000  6 Mg 2.66-2.67
Cu2 0.3560 0.1440 0.5000  6 Mg 2.66-2.67
Cu3 0.6440 0.8560 0.5000  6 Mg 2.66-2.67
Cu4 0.8560 0.3560 0.5000  6 Mg 2.66-2.67



Compound: Sc2Hg
Source: Alexandria
Functional: PBE
Structure: relaxed

Summary:
E_form (eV/atom): 0.011
Total DFT energy (no corrections) (eV/atom): -4.311
Symmetry: P4/mmm

abc: 4.8522 4.8522 3.3232
angles: 90.00 90.00 90.00
With the nearest neighbours (Å) after each atom.
Element x y z (fractional)
Sc1 0.0000 0.5000 0.0000  4 Hg 2.94
Sc2 0.5000 0.0000 0.0000  4 Hg 2.94
Hg1 0.0000 0.0000 0.5000  8 Sc 2.94